Record 1
A relaxed ZnTcPt2 crystal, computed with GGA-PBE.

Computed properties:
Density of states at the Fermi level ... 17.36 states/eV/cell
DFT total energy ... -6.144 eV per atom
V ... 179.21 Å³ per cell
E_form ... -0.85 eV per formula unit

Lattice parameters (Å, degrees): 2.7920 2.7920 26.5453 90.00 90.00 120.00
With the nearest neighbours (Å) after each atom.
Space group R-3m (No. 166, hexagonal axes)
Asymmetric unit:
Zn: 0.0000 0.0000 0.0000  6 Pt 2.72, 6 Zn 2.79
Tc: 0.0000 0.0000 0.5000  6 Pt 2.76, 6 Tc 2.79
Pt: 0.0000 0.0000 0.2509  3 Zn 2.72, 3 Tc 2.76, 6 Pt 2.79



Record 2
A relaxed ZnTc2Pt crystal, computed with GGA-PBE.

Computed properties:
Density of states at the Fermi level ... 19.88 states/eV/cell
DFT total energy ... -6.409 eV per atom
V ... 258.25 Å³ per cell
E_form ... 2.41 eV per formula unit

Lattice parameters (Å, degrees): 7.1262 7.1262 5.0853 90.00 90.00 90.00
With the nearest neighbours (Å) after each atom.
Space group I-42d (No. 122)
Asymmetric unit:
Zn: 0.0000 0.0000 0.0000  2 Pt 2.54, 4 Tc 2.60
Tc: 0.2499 0.2500 0.1250  2 Tc 2.54, 2 Zn 2.60, 2 Pt 2.60
Pt: 0.0000 0.0000 0.5000  2 Zn 2.54, 4 Tc 2.60



Record 3
A relaxed ZnTcPt crystal, computed with GGA-PBE.

Computed properties:
Density of states at the Fermi level ... 3.94 states/eV/cell
DFT total energy ... -5.950 eV per atom
V ... 87.92 Å³ per cell
Energy relative to the lowest polymorph listed for this composition ... 0.083 eV/atom
E_form ... -0.17 eV per formula unit

Lattice parameters (Å, degrees): 2.7283 3.9209 8.2190 90.00 90.00 90.00
With the nearest neighbours (Å) after each atom.
Space group Imm2 (No. 44)
Asymmetric unit:
Zn: 0.0000 0.0000 0.0000  2 Zn 2.73, 5 Pt 2.74-2.75, 5 Tc 2.75
Tc: 0.0000 0.0000 0.3349  5 Pt 2.72-2.76, 2 Tc 2.73, 5 Zn 2.75
Pt: 0.0000 0.0000 0.6661  5 Tc 2.72-2.76, 2 Pt 2.73, 5 Zn 2.74-2.75



Record 4
A relaxed ZnTc2Pt crystal, computed with GGA-PBE.

Computed properties:
Density of states at the Fermi level ... 3.01 states/eV/cell
DFT total energy ... -7.019 eV per atom
V ... 58.81 Å³ per cell
E_form ... -0.03 eV per formula unit

Lattice parameters (Å, degrees): 3.6691 3.6691 4.3683 90.00 90.00 90.00
With the nearest neighbours (Å) after each atom.
Space group P4/mmm (No. 123)
Asymmetric unit:
Zn: 0.0000 0.0000 0.0000  4 Pt 2.59, 8 Tc 2.85
Tc: 0.0000 0.5000 0.5000  4 Tc 2.59, 4 Pt 2.85, 4 Zn 2.85
Pt: 0.5000 0.5000 0.0000  4 Zn 2.59, 8 Tc 2.85



Record 5
A relaxed ZnTcPt crystal, computed with GGA-PBE.

Computed properties:
Density of states at the Fermi level ... 6.44 states/eV/cell
DFT total energy ... -5.994 eV per atom
V ... 88.80 Å³ per cell
Energy relative to the lowest polymorph listed for this composition ... 0.038 eV/atom
E_form ... -0.30 eV per formula unit

Lattice parameters (Å, degrees): 2.7856 2.7856 13.2139 90.00 90.00 120.00
With the nearest neighbours (Å) after each atom.
Space group P-6m2 (No. 187)
Asymmetric unit:
Zn: 0.0000 0.0000 0.1663  3 Pt 2.72, 3 Tc 2.72, 6 Zn 2.79
Tc: 0.0000 0.0000 0.5000  6 Pt 2.74, 6 Tc 2.79
Tc: 0.3333 0.6667 0.0000  6 Zn 2.72, 6 Tc 2.79
Pt: 0.3333 0.6667 0.3323  3 Zn 2.72, 3 Tc 2.74, 6 Pt 2.79



Record 6
A relaxed ZnTc2Pt crystal, computed with GGA-PBE.

Computed properties:
Density of states at the Fermi level ... 17.94 states/eV/cell
DFT total energy ... -6.942 eV per atom
V ... 177.02 Å³ per cell
E_form ... 0.28 eV per formula unit

Lattice parameters (Å, degrees): 2.7540 2.7540 26.9497 90.00 90.00 120.00
With the nearest neighbours (Å) after each atom.
Space group R-3m (No. 166, hexagonal axes)
Asymmetric unit:
Zn: 0.0000 0.0000 0.0000  6 Tc 2.74, 6 Zn 2.75
Tc: 0.0000 0.0000 0.2503  3 Zn 2.74, 6 Tc 2.75, 3 Pt 2.76
Pt: 0.0000 0.0000 0.5000  6 Pt 2.75, 6 Tc 2.76



Record 7
A relaxed ZnTc2Pt crystal, computed with GGA-PBE.

Computed properties:
Density of states at the Fermi level ... 5.61 states/eV/cell
DFT total energy ... -7.072 eV per atom
V ... 116.57 Å³ per cell
E_form ... -0.24 eV per formula unit

Lattice parameters (Å, degrees): 3.7294 3.7294 8.3810 90.00 90.00 90.00
With the nearest neighbours (Å) after each atom.
Space group I4/mmm (No. 139)
Asymmetric unit:
Zn: 0.0000 0.0000 0.0000  4 Pt 2.64, 8 Tc 2.80
Tc: 0.0000 0.5000 0.2500  4 Tc 2.64, 4 Pt 2.80, 4 Zn 2.80
Pt: 0.0000 0.0000 0.5000  4 Zn 2.64, 8 Tc 2.80



Record 8
A relaxed Zn4TcPt5 crystal, computed with GGA-PBE.

Computed properties:
Density of states at the Fermi level ... 5.15 states/eV/cell
DFT total energy ... -5.025 eV per atom
V ... 147.03 Å³ per cell
E_form ... -4.59 eV per formula unit

Lattice parameters (Å, degrees): 2.8093 2.8093 18.6303 90.00 90.00 90.00
With the nearest neighbours (Å) after each atom.
Space group P4/mmm (No. 123)
Asymmetric unit:
Zn: 0.0000 0.0000 0.0984  8 Pt 2.70, 4 Zn 2.81
Zn: 0.0000 0.0000 0.2953  8 Pt 2.71-2.75, 4 Zn 2.81
Tc: 0.0000 0.0000 0.5000  8 Pt 2.75, 4 Tc 2.81
Pt: 0.5000 0.5000 0.0000  8 Zn 2.70, 4 Pt 2.81
Pt: 0.5000 0.5000 0.1966  8 Zn 2.70-2.71, 4 Pt 2.81
Pt: 0.5000 0.5000 0.3977  4 Tc 2.75, 4 Zn 2.75, 4 Pt 2.81



Among the records above, which one has the highest V?
number 2